[1]
# Tm2AgB2Rh5, optimized geometry, DFT PBE
# density of states at the Fermi level: 0.466 states/eV/atom
# ΔH_f (0 K): -0.68 eV/atom
# density: 11.1 Mg/m³
# magnetic moment: 0.000 μB/atom
data_Tm2AgB2Rh5
_chemical_formula_sum 'Tm4 Ag2 B4 Rh10'
_cell_length_a 9.5520
_cell_length_b 9.5520
_cell_length_c 3.2078
_cell_angle_alpha 90.00
_cell_angle_beta 90.00
_cell_angle_gamma 90.00
_symmetry_space_group_name_H-M 'P 4/m b m'
_symmetry_Int_Tables_number 127
_symmetry_space_group_name_Hall '-P 4 2ab'
loop_
_atom_site_label
_atom_site_type_symbol
_atom_site_fract_x
_atom_site_fract_y
_atom_site_fract_z
Tm1 Tm 0.1761 0.3239 0.0000
Ag1 Ag 0.0000 0.0000 0.0000
B1 B 0.1237 0.6237 0.0000
Rh1 Rh 0.0000 0.5000 0.5000
Rh2 Rh 0.0710 0.7745 0.5000


[2]
# Tb2Te2Se, optimized geometry, DFT PBE
# energy above the lowest structure with this stoichiometry: 0 meV per atom
# formation energy from raw total energies: -7.5 eV per formula unit
# density of states at the Fermi level: 0.078 states/eV/atom
# density: 6.9 Mg/m³
# magnetic moment: 0.000 μB/atom
data_Tb2Te2Se
_chemical_formula_sum 'Tb8 Te8 Se4'
_cell_length_a 8.2132
_cell_length_b 11.6525
_cell_length_c 6.5397
_cell_angle_alpha 90.00
_cell_angle_beta 90.00
_cell_angle_gamma 90.00
_symmetry_space_group_name_H-M 'I b a m'
_symmetry_Int_Tables_number 72
_symmetry_space_group_name_Hall '-I 2 2c'
loop_
_atom_site_label
_atom_site_type_symbol
_atom_site_fract_x
_atom_site_fract_y
_atom_site_fract_z
Tb1 Tb 0.2432 0.1028 0.0000
Te1 Te 0.1256 0.3529 0.0000
Se1 Se 0.0000 0.0000 0.2500


[3]
# CaTlSeNF, optimized geometry, DFT PBE
# energy above the lowest structure with this stoichiometry: 0 meV per atom
# formation energy from raw total energies: -5.7 eV per formula unit
# density of states at the Fermi level: 0.277 states/eV/atom
# density: 5.4 Mg/m³
# magnetic moment: 0.000 μB/atom
data_CaTlSeNF
_chemical_formula_sum 'Ca2 Tl2 Se2 N2 F2'
_cell_length_a 6.1398
_cell_length_b 3.7093
_cell_length_c 9.5972
_cell_angle_alpha 90.00
_cell_angle_beta 90.83
_cell_angle_gamma 90.00
_symmetry_space_group_name_H-M 'C 1 m 1'
_symmetry_Int_Tables_number 8
_symmetry_space_group_name_Hall 'C -2y'
loop_
_atom_site_label
_atom_site_type_symbol
_atom_site_fract_x
_atom_site_fract_y
_atom_site_fract_z
Ca1 Ca 0.0000 0.0000 0.0000
Tl1 Tl 0.1746 0.5000 0.4418
Se1 Se 0.3305 0.0000 0.6887
N1 N 0.3374 0.0000 0.8699
F1 F 0.1664 0.5000 0.1104


[4]
# SrCdRu2, optimized geometry, DFT PBE
# density of states at the Fermi level: 0.875 states/eV/atom
# ΔH_f (0 K): 0.73 eV/atom
# density: 8.4 Mg/m³
# magnetic moment: 0.632 μB/atom
data_SrCdRu2
_chemical_formula_sum 'Sr2 Cd2 Ru4'
_cell_length_a 6.0881
_cell_length_b 8.8542
_cell_length_c 2.9328
_cell_angle_alpha 90.00
_cell_angle_beta 90.00
_cell_angle_gamma 90.00
_symmetry_space_group_name_H-M 'C m m m'
_symmetry_Int_Tables_number 65
_symmetry_space_group_name_Hall '-C 2 2'
loop_
_atom_site_label
_atom_site_type_symbol
_atom_site_fract_x
_atom_site_fract_y
_atom_site_fract_z
Sr1 Sr 0.0000 0.0000 0.0000
Cd1 Cd 0.0000 0.5000 0.0000
Ru1 Ru 0.2500 0.2500 0.5000


Which value of density does entry 4 give?
8.4 Mg/m³